[1]
# La2VPb PBE optimized geometry
data_La2VPb
_space_group_name_H-M_alt 'P 1'
_space_group_IT_number 1
_space_group_name_Hall 'P 1'
_cell_length_a 8.563
_cell_length_b 8.563
_cell_length_c 6.813
_cell_angle_alpha 51.06
_cell_angle_beta 51.06
_cell_angle_gamma 90.00
loop_
_atom_site_label
_atom_site_type_symbol
_atom_site_fract_x
_atom_site_fract_y
_atom_site_fract_z
La1 La 0.375 0.423 0.750
Pb1 Pb 0.000 0.000 0.000
La2 La 0.173 0.625 0.250
La3 La 0.875 0.827 0.750
La4 La 0.577 0.125 0.250
V1 V 0.250 0.750 0.500
Pb2 Pb 0.750 0.250 0.500
V2 V 0.500 0.500 0.000
# DOS(E_F) (states/eV per atom): 0.882
# Space group: I-42d
# Raw total energy (eV per atom): -5.384

[2]
# LaV2Pb PBE optimized geometry
data_LaV2Pb
_space_group_name_H-M_alt 'P 1'
_space_group_IT_number 1
_space_group_name_Hall 'P 1'
_cell_length_a 7.836
_cell_length_b 7.836
_cell_length_c 6.336
_cell_angle_alpha 51.81
_cell_angle_beta 51.81
_cell_angle_gamma 90.00
loop_
_atom_site_label
_atom_site_type_symbol
_atom_site_fract_x
_atom_site_fract_y
_atom_site_fract_z
V1 V 0.101 0.625 0.250
La1 La 0.500 0.500 0.000
V2 V 0.875 0.899 0.750
Pb1 Pb 0.000 0.000 0.000
V3 V 0.375 0.351 0.750
V4 V 0.649 0.125 0.250
La2 La 0.250 0.750 0.500
Pb2 Pb 0.750 0.250 0.500
# DOS(E_F) (states/eV per atom): 2.162
# Space group: I-42d
# Raw total energy (eV per atom): -5.718

[3]
# LaV2ZnPb PBE optimized geometry
data_LaV2ZnPb
_space_group_name_H-M_alt 'P 1'
_space_group_IT_number 1
_space_group_name_Hall 'P 1'
_cell_length_a 4.952
_cell_length_b 5.230
_cell_length_c 4.952
_cell_angle_alpha 90.00
_cell_angle_beta 90.00
_cell_angle_gamma 90.00
loop_
_atom_site_label
_atom_site_type_symbol
_atom_site_fract_x
_atom_site_fract_y
_atom_site_fract_z
Pb1 Pb 0.000 0.500 0.000
V1 V 0.000 0.000 0.500
V2 V 0.500 0.000 0.000
Zn1 Zn 0.000 0.000 0.000
La1 La 0.500 0.500 0.500
# DOS(E_F) (states/eV per atom): 0.798
# Space group: P4/mmm
# Raw total energy (eV per atom): -4.948

[4]
# LaVZn2Pb PBE optimized geometry
data_LaVZn2Pb
_space_group_name_H-M_alt 'P 1'
_space_group_IT_number 1
_space_group_name_Hall 'P 1'
_cell_length_a 5.025
_cell_length_b 5.005
_cell_length_c 5.025
_cell_angle_alpha 90.00
_cell_angle_beta 90.00
_cell_angle_gamma 90.00
loop_
_atom_site_label
_atom_site_type_symbol
_atom_site_fract_x
_atom_site_fract_y
_atom_site_fract_z
Zn1 Zn 0.500 0.000 0.000
V1 V 0.000 0.000 0.000
Zn2 Zn 0.000 0.000 0.500
La1 La 0.000 0.500 0.000
Pb1 Pb 0.500 0.500 0.500
# DOS(E_F) (states/eV per atom): 0.783
# Space group: P4/mmm
# Raw total energy (eV per atom): -3.638

[5]
# LaPbW2 PBE optimized geometry
data_LaPbW2
_space_group_name_H-M_alt 'P 1'
_space_group_IT_number 1
_space_group_name_Hall 'P 1'
_cell_length_a 5.397
_cell_length_b 5.397
_cell_length_c 5.716
_cell_angle_alpha 74.92
_cell_angle_beta 74.92
_cell_angle_gamma 38.13
loop_
_atom_site_label
_atom_site_type_symbol
_atom_site_fract_x
_atom_site_fract_y
_atom_site_fract_z
W1 W 0.505 0.505 0.403
La1 La 0.750 0.750 0.750
Pb1 Pb 0.250 0.250 0.250
W2 W 0.995 0.995 0.097
# DOS(E_F) (states/eV per atom): 0.922
# Space group: C2/m
# Raw total energy (eV per atom): -7.939

[6]
# LaPbW2 PBE optimized geometry
data_LaPbW2
_space_group_name_H-M_alt 'P 1'
_space_group_IT_number 1
_space_group_name_Hall 'P 1'
_cell_length_a 5.286
_cell_length_b 3.289
_cell_length_c 5.749
_cell_angle_alpha 90.60
_cell_angle_beta 90.00
_cell_angle_gamma 90.00
loop_
_atom_site_label
_atom_site_type_symbol
_atom_site_fract_x
_atom_site_fract_y
_atom_site_fract_z
W1 W 0.000 0.527 0.416
Pb1 Pb 0.500 0.750 0.750
W2 W 0.000 0.973 0.084
La1 La 0.500 0.250 0.250
# DOS(E_F) (states/eV per atom): 0.862
# Space group: P2/m
# Raw total energy (eV per atom): -7.829

[7]
# LaPbW2 PBE optimized geometry
data_LaPbW2
_space_group_name_H-M_alt 'P 1'
_space_group_IT_number 1
_space_group_name_Hall 'P 1'
_cell_length_a 4.975
_cell_length_b 4.975
_cell_length_c 4.975
_cell_angle_alpha 119.94
_cell_angle_beta 119.94
_cell_angle_gamma 90.11
loop_
_atom_site_label
_atom_site_type_symbol
_atom_site_fract_x
_atom_site_fract_y
_atom_site_fract_z
La1 La 0.500 0.500 0.000
W1 W 0.000 0.000 0.000
W2 W 0.250 0.750 0.500
Pb1 Pb 0.750 0.250 0.500
# DOS(E_F) (states/eV per atom): 0.563
# Space group: I-4m2
# Raw total energy (eV per atom): -7.778

[8]
# LaPbW2 PBE optimized geometry
data_LaPbW2
_space_group_name_H-M_alt 'P 1'
_space_group_IT_number 1
_space_group_name_Hall 'P 1'
_cell_length_a 10.798
_cell_length_b 10.798
_cell_length_c 10.798
_cell_angle_alpha 16.30
_cell_angle_beta 16.30
_cell_angle_gamma 16.30
loop_
_atom_site_label
_atom_site_type_symbol
_atom_site_fract_x
_atom_site_fract_y
_atom_site_fract_z
Pb1 Pb 0.750 0.750 0.750
La1 La 0.250 0.250 0.250
W1 W 0.494 0.494 0.494
W2 W 0.006 0.006 0.006
# DOS(E_F) (states/eV per atom): 1.264
# Space group: R-3m
# Raw total energy (eV per atom): -7.443

The records above yield formation energy values of 0.2868, 1.0001, 0.6810, 0.4225, 0.6963, 0.8066, 0.8580, 1.1924 eV per atom, respectively.
The records above yield magnetic moment values of 5.83, 0.00, 7.05, 1.15, 0.00, 0.00, 0.00, 0.00 μB/cell, respectively.